Entry from the Alexandria database: crystalline Zn2RePb at its relaxed geometry (PBE-GGA).

Summary:
spin magnetization: 0.03 Bohr magnetons per cell
ΔE_f: 599 meV per atom
space-group type: R3m

Cell lengths 9.1153, 9.1153, 9.1153 Å; angles 19.44, 19.44, 19.44 degrees
Atoms (fractional coordinates):
Pb 0.4967 0.4967 0.4967
Re 0.7418 0.7418 0.7418
Zn 0.0013 0.0013 0.0013
Zn 0.2603 0.2603 0.2603

Entry from the Alexandria database: crystalline SrTlCdHg at its relaxed geometry (PBE-GGA).

Summary:
spin magnetization: 0.00 Bohr magnetons per cell
ΔE_f: -299 meV per atom
space-group type: F-43m

Cell lengths 5.4024, 5.4024, 5.4024 Å; angles 60.00, 60.00, 60.00 degrees
Atoms (fractional coordinates):
Sr 0.2500 0.2500 0.2500
Tl 0.0000 0.0000 0.0000
Hg 0.5000 0.5000 0.5000
Cd 0.7500 0.7500 0.7500

Entry from the Alexandria database: crystalline TbPm2Ho6Er at its relaxed geometry (PBE-GGA).

Summary:
spin magnetization: 0.00 Bohr magnetons per cell
ΔE_f: 117 meV per atom
space-group type: C2/c

Cell lengths 9.6306, 8.7413, 8.7413 Å; angles 118.11, 94.47, 94.47 degrees
Atoms (fractional coordinates):
Tb 0.2500 0.9809 0.0191
Tb 0.7500 0.0191 0.9809
Pm 0.4571 0.8053 0.7017
Pm 0.0429 0.2983 0.1947
Pm 0.5429 0.1947 0.2983
Pm 0.9571 0.7017 0.8053
Ho 0.0571 0.1251 0.7454
Ho 0.4429 0.2546 0.8749
Ho 0.9429 0.8749 0.2546
Ho 0.5571 0.7454 0.1251
Ho 0.3135 0.9793 0.4260
Ho 0.1865 0.5740 0.0207
Ho 0.6865 0.0207 0.5740
Ho 0.8135 0.4260 0.9793
Ho 0.1193 0.7078 0.4961
Ho 0.3807 0.5039 0.2922
Ho 0.8807 0.2922 0.5039
Ho 0.6193 0.4961 0.7078
Er 0.2500 0.4074 0.5926
Er 0.7500 0.5926 0.4074

Entry from the Alexandria database: crystalline Rb2Ba2ReO6 at its relaxed geometry (PBE-GGA).

Summary:
spin magnetization: 1.01 Bohr magnetons per cell
formation energy from raw total energies: -1.94 eV per atom
space-group type: C2/m

Cell lengths 6.3648, 6.3648, 6.8384 Å; angles 97.17, 97.17, 118.19 degrees
Site moments in Bohr magnetons follow the coordinates.
Atoms (fractional coordinates):
Rb 0.8447 0.1553 0.0000  0.00
Rb 0.1553 0.8447 0.0000  0.00
Ba 0.3380 0.6620 0.5000  0.01
Ba 0.6620 0.3380 0.5000  0.01
Re 0.0000 0.0000 0.5000  0.71
O 0.8026 0.8026 0.6773  0.02
O 0.0411 0.3002 0.6630  0.02
O 0.1974 0.1974 0.3227  0.02
O 0.3002 0.0411 0.6630  0.02
O 0.9589 0.6998 0.3370  0.02
O 0.6998 0.9589 0.3370  0.02

no.,energy (eV per cell)
1,-16.3
2,-6.5
3,-90.0
4,-69.3